*w*
Below is TlTe2BrN after structural relaxation, with properties calculated at the PBE level.

As for the total moment: 0.000 μB per formula unit.

The space group is P4/mmm (No. 123) and the conventional cell measures 6.529, 6.529 and 3.583 Å, with angles of 90.00, 90.00 and 90.00 degrees. Symmetry generates all atoms from Tl at (0.000, 0.000, 0.000), Te at (0.000, 0.500, 0.500), Br at (0.500, 0.500, 0.500) and N at (0.500, 0.500, 0.000).

=====

*x*
Below is TlTe2BrN after structural relaxation, with properties calculated at the PBE level.

As for the total moment: 2.844 μB per formula unit.

The space group is P4/mmm (No. 123) and the conventional cell measures 6.122, 6.122 and 4.190 Å, with angles of 90.00, 90.00 and 90.00 degrees. Symmetry generates all atoms from Tl at (0.000, 0.000, 0.000), Te at (0.000, 0.500, 0.000), Br at (0.500, 0.500, 0.500) and N at (0.000, 0.000, 0.500).

=====

Need the numbers? Relative energies in meV per atom: *w* 0; *x* 147.

=====

*w*
Below is YTe2BrN after structural relaxation, with properties calculated at the PBE level.

As for the total moment: 0.356 μB per formula unit.

The space group is P4/mmm (No. 123) and the conventional cell measures 6.177, 6.177 and 4.061 Å, with angles of 90.00, 90.00 and 90.00 degrees. Symmetry generates all atoms from Y at (0.000, 0.000, 0.000), Te at (0.000, 0.500, 0.000), Br at (0.500, 0.500, 0.500) and N at (0.000, 0.000, 0.500).

=====

*x*
Below is YTe2BrN after structural relaxation, with properties calculated at the PBE level.

As for the total moment: 0.000 μB per formula unit.

The space group is P4/mmm (No. 123) and the conventional cell measures 4.873, 4.873 and 4.982 Å, with angles of 90.00, 90.00 and 90.00 degrees. Symmetry generates all atoms from Y at (0.000, 0.000, 0.000), Te at (0.000, 0.500, 0.500), Br at (0.500, 0.500, 0.000) and N at (0.000, 0.000, 0.500).

=====

*y*
Below is YTe2BrN after structural relaxation, with properties calculated at the PBE level.

As for the total moment: 0.750 μB per formula unit.

The space group is P4/mmm (No. 123) and the conventional cell measures 5.586, 5.586 and 4.060 Å, with angles of 90.00, 90.00 and 90.00 degrees. Symmetry generates all atoms from Y at (0.000, 0.000, 0.000), Te at (0.000, 0.500, 0.500), Br at (0.500, 0.500, 0.500) and N at (0.500, 0.500, 0.000).

=====

Need the numbers? Relative energies in meV per atom: *w* 494; *x* 0; *y* 818.

=====

*w*
Below is YTeBrN2 after structural relaxation, with properties calculated at the PBE level.

As for the total moment: 3.580 μB per formula unit.

The space group is P4/mmm (No. 123) and the conventional cell measures 4.524, 4.524 and 6.463 Å, with angles of 90.00, 90.00 and 90.00 degrees. Symmetry generates all atoms from Y at (0.000, 0.000, 0.000), Te at (0.000, 0.000, 0.500), Br at (0.500, 0.500, 0.500) and N at (0.000, 0.500, 0.000).

=====

*x*
Below is YTeBrN2 after structural relaxation, with properties calculated at the PBE level.

As for the total moment: 0.654 μB per formula unit.

The space group is P4/mmm (No. 123) and the conventional cell measures 4.313, 4.313 and 5.358 Å, with angles of 90.00, 90.00 and 90.00 degrees. Symmetry generates all atoms from Y at (0.000, 0.000, 0.000), Te at (0.500, 0.500, 0.000), Br at (0.500, 0.500, 0.500) and N at (0.000, 0.500, 0.500).

=====

Need the numbers? Relative energies in meV per atom: *w* 0; *x* 584.